No. 1
MgSi2Rh2 | Alexandria | PBE | optimized geometry; total DFT energy (no corrections) = -60.190 eV/cell; space group = P4/mbm (127); total magnetization = 0.0 Bohr magnetons per cell; formation energy (no corrections) = -2.951 eV per formula unit
1.0
-4.9749 -4.8806 -1.5169
4.6517 -3.4471 -4.1653
0.8430 -1.5508 2.2248
Mg Si Rh
2 4 4
Direct
0.0000 0.0000 0.0000
0.5000 0.5000 0.0000
0.1507 0.6507 0.5000
0.6507 0.8493 0.5000
0.3493 0.1507 0.5000
0.8493 0.3493 0.5000
0.1445 0.3555 0.0000
0.3555 0.8555 0.0000
0.8555 0.6445 0.0000
0.6445 0.1445 0.0000

No. 2
Mg3Si2Rh5 | Alexandria | PBE | optimized geometry; total DFT energy (no corrections) = -118.888 eV/cell; space group = P4/mbm (127); total magnetization = 0.0 Bohr magnetons per cell; formation energy (no corrections) = -7.057 eV per formula unit
1.0
-3.2062 0.1027 -0.1770
0.1894 -6.5284 -7.2200
-0.5905 -7.2158 6.5091
Rh Si Mg
10 4 6
Direct
0.5000 0.5717 0.7075
0.5000 0.7075 0.4283
0.5000 0.0000 0.5000
0.5000 0.2925 0.5717
0.5000 0.9283 0.2075
0.5000 0.0717 0.7925
0.5000 0.5000 0.0000
0.5000 0.7925 0.9283
0.5000 0.4283 0.2925
0.5000 0.2075 0.0717
0.0000 0.1300 0.6300
0.0000 0.3700 0.1300
0.0000 0.8700 0.3700
0.0000 0.6300 0.8700
0.0000 0.5000 0.5000
0.0000 0.6719 0.1719
0.0000 0.0000 0.0000
0.0000 0.1719 0.3281
0.0000 0.3281 0.8281
0.0000 0.8281 0.6719

No. 3
Mg4Si6Rh7 | Alexandria | PBE | optimized geometry; total DFT energy (no corrections) = -102.048 eV/cell; space group = Im-3m (229); total magnetization = 0.0 Bohr magnetons per cell; formation energy (no corrections) = -11.671 eV per formula unit
1.0
-1.8952 1.3911 6.5048
-5.4824 0.5914 -4.1753
2.4799 -6.4473 -0.3502
Rh Si Mg
7 6 4
Direct
0.0000 0.0000 0.0000
0.5000 0.2500 0.7500
0.7500 0.2500 0.5000
0.5000 0.7500 0.2500
0.2500 0.7500 0.5000
0.7500 0.5000 0.2500
0.2500 0.5000 0.7500
0.3178 0.3178 0.0000
0.0000 0.6822 0.6822
0.6822 0.6822 0.0000
0.3178 0.0000 0.3178
0.0000 0.3178 0.3178
0.6822 0.0000 0.6822
0.5000 0.5000 0.5000
0.5000 0.0000 0.0000
0.0000 0.5000 0.0000
0.0000 0.0000 0.5000

No. 4
Mg2Si3Rh5 | Alexandria | PBE | optimized geometry; total DFT energy (no corrections) = -127.249 eV/cell; space group = Cmc2_1 (36); total magnetization = 0.0 Bohr magnetons per cell; formation energy (no corrections) = -7.409 eV per formula unit
1.0
3.9188 0.0000 -0.6676
0.0000 6.0049 0.0000
0.0890 0.0000 12.3587
Rh Si Mg
10 6 4
Direct
0.4047 0.3984 0.8093
0.2925 0.4968 0.5851
0.2961 0.9525 0.5922
0.8719 0.7359 0.7437
0.0503 0.5864 0.1005
0.1281 0.2359 0.2563
0.5953 0.8984 0.1907
0.7075 0.9968 0.4149
0.9497 0.0864 0.8995
0.7039 0.4525 0.4078
0.7752 0.7217 0.5504
0.2248 0.2217 0.4496
0.9529 0.4815 0.9059
0.0471 0.9815 0.0941
0.6074 0.4906 0.2148
0.3926 0.9906 0.7852
0.8307 0.2357 0.6614
0.5150 0.2653 0.0300
0.4850 0.7653 0.9700
0.1693 0.7357 0.3386

No. 5
MgSi3Rh3 | Alexandria | PBE | optimized geometry; total DFT energy (no corrections) = -82.578 eV/cell; space group = Pm-3n (223); total magnetization = 0.0 Bohr magnetons per cell; formation energy (no corrections) = -1.371 eV per formula unit
1.0
6.4968 0.0000 0.0000
0.0000 6.4968 0.0000
0.0000 0.0000 6.4968
Si Rh Mg
6 6 2
Direct
0.0000 0.2500 0.5000
0.0000 0.7500 0.5000
0.7500 0.5000 0.0000
0.2500 0.5000 0.0000
0.5000 0.0000 0.2500
0.5000 0.0000 0.7500
0.2500 0.0000 0.5000
0.0000 0.5000 0.7500
0.5000 0.2500 0.0000
0.0000 0.5000 0.2500
0.7500 0.0000 0.5000
0.5000 0.7500 0.0000
0.0000 0.0000 0.0000
0.5000 0.5000 0.5000

No. 6
MgSiRh3 | Alexandria | PBE | optimized geometry; total DFT energy (no corrections) = -23.754 eV/cell; space group = Pm-3m (221); total magnetization = 0.0 Bohr magnetons per cell; formation energy (no corrections) = 5.318 eV per formula unit
1.0
4.4359 0.0000 0.0000
0.0000 4.4359 0.0000
0.0000 0.0000 4.4359
Rh Mg Si
3 1 1
Direct
0.0000 0.0000 0.5000
0.5000 0.0000 0.0000
0.0000 0.5000 0.0000
0.0000 0.0000 0.0000
0.5000 0.5000 0.5000

No. 7
Mg2SiRh | Alexandria | PBE | optimized geometry; total DFT energy (no corrections) = -16.260 eV/cell; space group = R-3m (166); total magnetization = 0.1 Bohr magnetons per cell; formation energy (no corrections) = -0.296 eV per formula unit
1.0
9.0866 0.0623 0.0367
8.5883 2.9685 0.0367
8.5883 1.4727 2.5777
Mg Si Rh
2 1 1
Direct
0.9928 0.9928 0.9928
0.5072 0.5072 0.5072
0.7500 0.7500 0.7500
0.2500 0.2500 0.2500

No. 8
Mg2Si4Rh3 | Alexandria | PBE | optimized geometry; total DFT energy (no corrections) = -50.654 eV/cell; space group = Fmmm (69); total magnetization = 0.0 Bohr magnetons per cell; formation energy (no corrections) = -3.719 eV per formula unit
1.0
5.3831 -0.0145 0.0000
-2.5146 4.7597 0.0000
-1.4342 -2.3726 5.7214
Rh Si Mg
3 4 2
Direct
0.0000 0.0000 0.0000
0.5000 0.0000 0.0000
0.0000 0.5000 0.0000
0.0168 0.6601 0.6769
0.3399 0.9832 0.3231
0.6601 0.0168 0.6769
0.9832 0.3399 0.3231
0.6240 0.6240 0.2481
0.3760 0.3760 0.7519

No. 9
Mg2SiRh | Alexandria | PBE | optimized geometry; total DFT energy (no corrections) = -17.369 eV/cell; space group = I-4m2 (119); total magnetization = 0.0 Bohr magnetons per cell; formation energy (no corrections) = -1.406 eV per formula unit
1.0
4.7937 0.0005 0.0000
1.4461 4.5704 0.0000
-3.1199 -2.2854 2.8324
Si Rh Mg
1 1 2
Direct
0.7500 0.2500 0.5000
0.5000 0.5000 0.0000
0.0000 0.0000 0.0000
0.2500 0.7500 0.5000

No. 10
Mg2SiRh | Alexandria | PBE | optimized geometry; total DFT energy (no corrections) = -17.085 eV/cell; space group = P4/mmm (123); total magnetization = 0.0 Bohr magnetons per cell; formation energy (no corrections) = -1.122 eV per formula unit
1.0
-1.4606 2.5240 -1.6188
-2.6856 -1.9019 -0.5425
-2.2934 1.8330 4.9274
Mg Rh Si
2 1 1
Direct
0.0000 0.0000 0.0112
0.0000 0.0000 0.4888
0.5000 0.5000 0.2500
0.5000 0.5000 0.7500

No. 11
Mg2SiRh | Alexandria | PBE | optimized geometry; total DFT energy (no corrections) = -17.487 eV/cell; space group = Cm (8); total magnetization = 0.0 Bohr magnetons per cell; formation energy (no corrections) = -1.523 eV per formula unit
1.0
5.2011 -0.1338 0.1581
4.1394 3.1519 0.1581
1.8342 0.5927 3.9729
Mg Si Rh
2 1 1
Direct
0.7640 0.7640 0.7358
0.9864 0.9864 0.0142
0.2181 0.2181 0.2790
0.5315 0.5315 0.4711

No. 12
MgSiRh4 | Alexandria | PBE | optimized geometry; total DFT energy (no corrections) = -35.968 eV/cell; space group = F-43m (216); total magnetization = 0.0 Bohr magnetons per cell; formation energy (no corrections) = 0.455 eV per formula unit
1.0
0.0000 3.6272 3.6272
3.6272 0.0000 3.6272
3.6272 3.6272 0.0000
Rh Mg Si
4 1 1
Direct
0.3754 0.8739 0.3754
0.3754 0.3754 0.3754
0.8739 0.3754 0.3754
0.3754 0.3754 0.8739
0.0000 0.0000 0.0000
0.7500 0.7500 0.7500

No. 13
MgSiRh3 | Alexandria | PBE | optimized geometry; total DFT energy (no corrections) = -61.493 eV/cell; space group = R3c (161); total magnetization = 0.0 Bohr magnetons per cell; formation energy (no corrections) = -1.674 eV per formula unit
1.0
5.7243 0.0211 0.0162
2.0414 5.3479 0.0162
2.0414 1.4114 5.1584
Rh Mg Si
6 2 2
Direct
0.0603 0.8787 0.3961
0.5603 0.8961 0.3787
0.3787 0.5603 0.8961
0.3961 0.0603 0.8787
0.8787 0.3961 0.0603
0.8961 0.3787 0.5603
0.9445 0.9445 0.9445
0.4445 0.4445 0.4445
0.7387 0.7387 0.7387
0.2387 0.2387 0.2387

No. 14
Mg2SiRh | Alexandria | PBE | optimized geometry; total DFT energy (no corrections) = -34.712 eV/cell; space group = C2/c (15); total magnetization = 0.0 Bohr magnetons per cell; formation energy (no corrections) = -1.392 eV per formula unit
1.0
4.3559 0.0000 1.3109
2.0498 4.6098 1.0812
-0.0116 -0.4927 7.9306
Mg Si Rh
4 2 2
Direct
0.9134 0.7590 0.6000
0.0866 0.2410 0.4000
0.2723 0.7410 0.9000
0.7277 0.2590 0.1000
0.3577 0.2500 0.7500
0.6423 0.7500 0.2500
0.8584 0.2500 0.7500
0.1416 0.7500 0.2500

No. 15
MgSi2Rh2 | Alexandria | PBE | optimized geometry; total DFT energy (no corrections) = -60.441 eV/cell; space group = P4/mbm (127); total magnetization = 0.0 Bohr magnetons per cell; formation energy (no corrections) = -3.077 eV per formula unit
1.0
7.1184 0.0000 0.0000
0.0000 7.1184 0.0000
0.0000 0.0000 2.8080
Rh Mg Si
4 2 4
Direct
0.8288 0.3288 0.5000
0.3288 0.1712 0.5000
0.6712 0.8288 0.5000
0.1712 0.6712 0.5000
0.0000 0.0000 0.0000
0.5000 0.5000 0.0000
0.8748 0.6252 0.0000
0.1252 0.3748 0.0000
0.3748 0.8748 0.0000
0.6252 0.1252 0.0000

No. 16
Mg3SiRh | Alexandria | PBE | optimized geometry; total DFT energy (no corrections) = -14.845 eV/cell; space group = Pm-3m (221); total magnetization = 0.4 Bohr magnetons per cell; formation energy (no corrections) = 2.714 eV per formula unit
1.0
-1.5646 -2.8033 -3.6319
0.1255 -3.8620 2.9269
-4.5862 0.8507 1.3191
Rh Mg Si
1 3 1
Direct
0.5000 0.5000 0.5000
0.0000 0.0000 0.5000
0.0000 0.5000 0.0000
0.5000 0.0000 0.0000
0.0000 0.0000 0.0000

No. 17
Mg2SiRh | Alexandria | PBE | optimized geometry; total DFT energy (no corrections) = -17.227 eV/cell; space group = P4/mmm (123); total magnetization = 0.0 Bohr magnetons per cell; formation energy (no corrections) = -1.264 eV per formula unit
1.0
-0.1171 -1.6258 3.6298
-2.3713 -2.8868 -1.3695
3.1657 -2.1846 -0.8764
Si Mg Rh
1 2 1
Direct
0.0000 0.5000 0.5000
0.0000 0.0000 0.0000
0.5000 0.5000 0.0000
0.5000 0.0000 0.5000

No. 18
Mg2SiRh | Alexandria | PBE | optimized geometry; total DFT energy (no corrections) = -17.607 eV/cell; space group = Amm2 (38); total magnetization = 0.0 Bohr magnetons per cell; formation energy (no corrections) = -1.644 eV per formula unit
1.0
4.0999 0.0000 0.0000
0.0000 3.1667 0.0013
0.0000 1.5846 5.1755
Mg Rh Si
2 1 1
Direct
0.0000 0.9592 0.9572
0.5000 0.2919 0.2921
0.0000 0.6829 0.5088
0.5000 0.5660 0.7419

No. 19
Mg3SiRh | Alexandria | PBE | optimized geometry; total DFT energy (no corrections) = -16.118 eV/cell; space group = Pm-3m (221); total magnetization = 0.0 Bohr magnetons per cell; formation energy (no corrections) = 1.440 eV per formula unit
1.0
-0.2646 -3.0040 3.8150
3.9382 2.1023 1.9286
-2.8406 3.1945 2.3184
Mg Rh Si
3 1 1
Direct
0.0000 0.0000 0.5000
0.0000 0.5000 0.0000
0.5000 0.0000 0.0000
0.0000 0.0000 0.0000
0.5000 0.5000 0.5000

No. 20
Mg5SiRh6 | Alexandria | PBE | optimized geometry; total DFT energy (no corrections) = -64.959 eV/cell; space group = Cmmm (65); total magnetization = 0.0 Bohr magnetons per cell; formation energy (no corrections) = -7.455 eV per formula unit
1.0
-1.3281 -1.2974 3.9346
5.7246 0.8439 2.2107
-2.1589 5.5012 3.4906
Mg Si Rh
5 1 6
Direct
0.6676 0.5000 0.6647
0.3280 0.0000 0.3441
0.6720 0.0000 0.6559
0.3324 0.5000 0.3353
0.0000 0.5000 0.0000
0.0000 0.0000 0.0000
0.8423 0.7594 0.3153
0.8424 0.2406 0.3153
0.1576 0.7594 0.6847
0.5000 0.7689 0.0000
0.1577 0.2406 0.6847
0.5000 0.2311 0.0000

No. 21
Mg2SiRh | Alexandria | PBE | optimized geometry; total DFT energy (no corrections) = -17.155 eV/cell; space group = I4/mmm (139); total magnetization = 0.0 Bohr magnetons per cell; formation energy (no corrections) = -1.192 eV per formula unit
1.0
4.8983 -0.0651 -0.0255
1.7923 4.5591 0.0255
-3.3304 -2.2692 2.7853
Si Mg Rh
1 2 1
Direct
0.2500 0.7500 0.5000
0.5001 0.5001 0.0000
0.9999 0.9999 0.0000
0.7500 0.2500 0.5000

No. 22
Mg2SiRh | Alexandria | PBE | optimized geometry; total DFT energy (no corrections) = -17.562 eV/cell; space group = P4mm (99); total magnetization = 0.0 Bohr magnetons per cell; formation energy (no corrections) = -1.598 eV per formula unit
1.0
3.1013 0.0000 0.0000
0.0000 3.1013 0.0000
0.0000 0.0000 7.1971
Mg Rh Si
2 1 1
Direct
0.5000 0.5000 0.2935
0.0000 0.0000 0.9566
0.0000 0.0000 0.5485
0.5000 0.5000 0.7013

No. 23
Mg2SiRh | Alexandria | PBE | optimized geometry; total DFT energy (no corrections) = -17.236 eV/cell; space group = F-43m (216); total magnetization = 0.0 Bohr magnetons per cell; formation energy (no corrections) = -1.272 eV per formula unit
1.0
-0.9827 4.2394 -0.7570
-2.5801 2.2076 2.8250
1.7254 3.1584 2.5610
Rh Mg Si
1 2 1
Direct
0.5000 0.5000 0.5000
0.2500 0.2500 0.2500
0.0000 0.0000 0.0000
0.7500 0.7500 0.7500

No. 24
MgSiRh4 | Alexandria | PBE | optimized geometry; total DFT energy (no corrections) = -37.371 eV/cell; space group = P4/mmm (123); total magnetization = 0.0 Bohr magnetons per cell; formation energy (no corrections) = -0.948 eV per formula unit
1.0
-2.6480 2.8317 0.9390
-0.9406 0.3991 -3.8554
-4.2990 -4.2228 0.6114
Mg Rh Si
1 4 1
Direct
0.5013 0.4973 0.9982
0.0013 0.4973 0.7239
0.5013 0.9973 0.2724
0.5013 0.9973 0.7238
0.0013 0.4973 0.2724
0.0013 0.9972 0.4981